This record from Alexandria describes an optimized crystal structure of LaSm5Dy. The functional is PBE.

Cell lengths 7.981, 7.981, 7.981 Å; angles 137.07, 113.20, 82.75 degrees
Fractional positions:
1 La 0.000 0.000 0.000
2 Sm 0.181 0.500 0.681
3 Sm 0.250 0.250 0.000
4 Sm 0.500 0.000 0.500
5 Sm 0.750 0.750 0.000
6 Sm 0.819 0.500 0.319
7 Dy 0.500 0.500 0.000

Results
ΔE to the lowest computed polymorph = 544 kJ/mol of formula units
Formation energy = 1005 meV per atom


This record from Alexandria describes an optimized crystal structure of RbGaSbSe4. The functional is PBE.

Cell lengths 6.720, 7.167, 9.157 Å; angles 90.00, 99.70, 90.00 degrees
Fractional positions:
1 Rb 0.214 0.250 0.067
2 Rb 0.786 0.750 0.933
3 Ga 0.354 0.250 0.672
4 Ga 0.646 0.750 0.328
5 Sb 0.158 0.750 0.419
6 Sb 0.842 0.250 0.581
7 Se 0.126 0.509 0.706
8 Se 0.126 0.991 0.706
9 Se 0.323 0.750 0.166
10 Se 0.444 0.250 0.430
11 Se 0.556 0.750 0.570
12 Se 0.677 0.250 0.834
13 Se 0.874 0.009 0.294
14 Se 0.874 0.491 0.294

Results
ΔE_f (raw) = -0.52 eV per atom


This record from Alexandria describes an optimized crystal structure of AgOs2Pt. The functional is PBE.

Cell lengths 4.925, 4.925, 4.925 Å; angles 133.87, 133.87, 67.29 degrees
Fractional positions:
1 Ag 0.000 0.000 0.000
2 Os 0.250 0.750 0.500
3 Os 0.750 0.250 0.500
4 Pt 0.500 0.500 0.000

Results
Formation energy = 613 meV per atom


This record from Alexandria describes an optimized crystal structure of K2Bi8Se13. The functional is PBE.

Cell lengths 17.902, 4.235, 18.880 Å; angles 90.00, 91.68, 90.00 degrees
Fractional positions:
1 K 0.011 0.250 0.349
2 K 0.249 0.750 0.729
3 K 0.751 0.250 0.271
4 K 0.989 0.750 0.651
5 Bi 0.006 0.750 0.100
6 Bi 0.164 0.250 0.535
7 Bi 0.192 0.750 0.947
8 Bi 0.230 0.250 0.205
9 Bi 0.334 0.750 0.380
10 Bi 0.390 0.250 0.980
11 Bi 0.420 0.250 0.572
12 Bi 0.487 0.250 0.242
13 Bi 0.513 0.750 0.758
14 Bi 0.580 0.750 0.428
15 Bi 0.610 0.750 0.020
16 Bi 0.666 0.250 0.620
17 Bi 0.770 0.750 0.795
18 Bi 0.808 0.250 0.053
19 Bi 0.836 0.750 0.465
20 Bi 0.994 0.250 0.900
21 Se 0.068 0.750 0.830
22 Se 0.074 0.750 0.488
23 Se 0.102 0.250 0.021
24 Se 0.125 0.750 0.218
25 Se 0.129 0.250 0.668
26 Se 0.226 0.250 0.352
27 Se 0.271 0.250 0.873
28 Se 0.309 0.750 0.054
29 Se 0.314 0.750 0.548
30 Se 0.364 0.750 0.234
31 Se 0.406 0.250 0.722
32 Se 0.455 0.250 0.407
33 Se 0.481 0.750 0.906
34 Se 0.519 0.250 0.094
35 Se 0.545 0.750 0.593
36 Se 0.594 0.750 0.278
37 Se 0.636 0.250 0.766
38 Se 0.686 0.250 0.452
39 Se 0.691 0.250 0.946
40 Se 0.729 0.750 0.127
41 Se 0.774 0.750 0.648
42 Se 0.871 0.750 0.332
43 Se 0.875 0.250 0.782
44 Se 0.898 0.750 0.979
45 Se 0.926 0.250 0.512
46 Se 0.932 0.250 0.170

Results
ΔE_f (raw) = -0.51 eV per atom
ΔE to the lowest computed polymorph = 60 kJ/mol of formula units


This record from Alexandria describes an optimized crystal structure of PmMg8Cu4. The functional is PBE.

Cell lengths 7.284, 7.284, 7.284 Å; angles 97.82, 97.82, 136.70 degrees
Fractional positions:
1 Pm 0.000 0.000 0.000
2 Mg 0.000 0.342 0.342
3 Mg 0.000 0.658 0.658
4 Mg 0.283 0.500 0.783
5 Mg 0.342 0.000 0.342
6 Mg 0.500 0.283 0.783
7 Mg 0.500 0.717 0.217
8 Mg 0.658 0.000 0.658
9 Mg 0.717 0.500 0.217
10 Cu 0.000 0.000 0.500
11 Cu 0.000 0.500 0.000
12 Cu 0.500 0.000 0.000
13 Cu 0.500 0.500 0.500

Results
Formation energy = -111 meV per atom


This record from Alexandria describes an optimized crystal structure of Ba2Na2Bi2Br. The functional is PBE.

Cell lengths 10.290, 10.290, 10.290 Å; angles 150.12, 150.12, 42.77 degrees
Fractional positions:
1 Ba 0.173 0.173 0.000
2 Ba 0.827 0.827 0.000
3 Na 0.000 0.500 0.500
4 Na 0.500 0.000 0.500
5 Bi 0.364 0.364 0.000
6 Bi 0.636 0.636 0.000
7 Br 0.000 0.000 0.000

Results
ΔE_f (raw) = -0.86 eV per atom


This record from Alexandria describes an optimized crystal structure of Ho7Tl4Ag. The functional is PBE.

Cell lengths 7.865, 7.865, 11.167 Å; angles 125.03, 125.03, 41.07 degrees
Fractional positions:
1 Ho 0.000 0.000 0.000
2 Ho 0.155 0.155 0.587
3 Ho 0.282 0.282 0.130
4 Ho 0.429 0.429 0.686
5 Ho 0.571 0.571 0.314
6 Ho 0.718 0.718 0.870
7 Ho 0.845 0.845 0.413
8 Tl 0.071 0.071 0.779
9 Tl 0.211 0.211 0.341
10 Tl 0.789 0.789 0.659
11 Tl 0.929 0.929 0.221
12 Ag 0.500 0.500 0.000

Results
Formation energy = -51 meV per atom


This record from Alexandria describes an optimized crystal structure of MgBeSbTe2. The functional is PBE.

Cell lengths 5.455, 5.455, 5.334 Å; angles 90.00, 90.00, 90.00 degrees
Fractional positions:
1 Mg 0.000 0.000 0.000
2 Be 0.500 0.500 0.500
3 Sb 0.000 0.000 0.500
4 Te 0.000 0.500 0.000
5 Te 0.500 0.000 0.000

Results
ΔE_f (raw) = 0.90 eV per atom
ΔE to the lowest computed polymorph = 305 kJ/mol of formula units


This record from Alexandria describes an optimized crystal structure of BeFeHg2. The functional is PBE.

Cell lengths 2.998, 3.876, 5.751 Å; angles 90.00, 99.69, 90.00 degrees
Fractional positions:
1 Be 0.000 0.000 0.000
2 Fe 0.000 0.000 0.500
3 Hg 0.395 0.500 0.242
4 Hg 0.605 0.500 0.758

Results
Formation energy = 565 meV per atom


This record from Alexandria describes an optimized crystal structure of Ca3Th2PaBi6. The functional is PBE.

Cell lengths 7.980, 7.980, 7.939 Å; angles 99.65, 99.65, 120.00 degrees
Fractional positions:
1 Ca 0.000 0.000 0.000
2 Ca 0.331 0.669 0.000
3 Ca 0.669 0.331 0.000
4 Th 0.166 0.834 0.500
5 Th 0.834 0.166 0.500
6 Pa 0.500 0.500 0.500
7 Bi 0.092 0.419 0.256
8 Bi 0.256 0.256 0.745
9 Bi 0.419 0.092 0.256
10 Bi 0.581 0.908 0.744
11 Bi 0.744 0.744 0.255
12 Bi 0.908 0.581 0.744

Results
Formation energy = -650 meV per atom


This record from Alexandria describes an optimized crystal structure of BaSc2Cl. The functional is PBE.

Cell lengths 6.806, 6.806, 6.806 Å; angles 151.17, 131.99, 56.97 degrees
Fractional positions:
1 Ba 0.000 0.000 0.000
2 Sc 0.288 0.788 0.500
3 Sc 0.712 0.212 0.500
4 Cl 0.500 0.500 0.000

Results
ΔE_f (raw) = -0.39 eV per atom
ΔE to the lowest computed polymorph = 41 kJ/mol of formula units


This record from Alexandria describes an optimized crystal structure of CaNbCu. The functional is PBE.

Cell lengths 4.885, 4.885, 5.842 Å; angles 90.00, 90.00, 120.00 degrees
Fractional positions:
1 Ca 0.333 0.667 0.250
2 Ca 0.667 0.333 0.750
3 Nb 0.333 0.667 0.750
4 Nb 0.667 0.333 0.250
5 Cu 0.000 0.000 0.000
6 Cu 0.000 0.000 0.500

Results
ΔE to the lowest computed polymorph = 253 kJ/mol of formula units
Formation energy = 1028 meV per atom


This record from Alexandria describes an optimized crystal structure of PaSnPd2O8. The functional is PBE.

Cell lengths 6.558, 6.558, 6.558 Å; angles 131.93, 131.93, 70.34 degrees
Fractional positions:
1 Pa 0.000 0.000 0.000
2 Sn 0.750 0.250 0.500
3 Pd 0.250 0.750 0.500
4 Pd 0.500 0.500 0.000
5 O 0.022 0.009 0.642
6 O 0.134 0.276 0.522
7 O 0.367 0.381 0.358
8 O 0.389 0.866 0.142
9 O 0.619 0.978 0.986
10 O 0.724 0.247 0.858
11 O 0.753 0.611 0.478
12 O 0.991 0.633 0.014

Results
ΔE_f (raw) = -1.25 eV per atom


This record from Alexandria describes an optimized crystal structure of Ba2YTc. The functional is PBE.

Cell lengths 3.906, 5.301, 6.534 Å; angles 90.00, 104.34, 90.00 degrees
Fractional positions:
1 Ba 0.123 0.000 0.276
2 Ba 0.877 0.000 0.724
3 Y 0.500 0.500 0.000
4 Tc 0.500 0.500 0.500

Results
ΔE to the lowest computed polymorph = 182 kJ/mol of formula units
Formation energy = 863 meV per atom


This record from Alexandria describes an optimized crystal structure of KNaLiCa. The functional is PBE.

Cell lengths 6.148, 6.148, 6.148 Å; angles 60.00, 60.00, 60.00 degrees
Fractional positions:
1 K 0.000 0.000 0.000
2 Na 0.250 0.250 0.250
3 Li 0.750 0.750 0.750
4 Ca 0.500 0.500 0.500

Results
Formation energy = 144 meV per atom


This record from Alexandria describes an optimized crystal structure of Sr2TlPdN. The functional is PBE.

Cell lengths 5.498, 5.498, 4.022 Å; angles 90.00, 90.00, 90.00 degrees
Fractional positions:
1 Sr 0.000 0.500 0.000
2 Sr 0.500 0.000 0.000
3 Tl 0.000 0.000 0.500
4 Pd 0.500 0.500 0.500
5 N 0.500 0.500 0.000

Results
ΔE_f (raw) = -0.37 eV per atom


This record from Alexandria describes an optimized crystal structure of MgAlIn. The functional is PBE.

Cell lengths 3.221, 3.223, 12.598 Å; angles 86.73, 86.93, 89.14 degrees
Fractional positions:
1 Mg 0.212 0.209 0.218
2 Mg 0.788 0.791 0.782
3 Al 0.262 0.263 0.935
4 Al 0.738 0.737 0.065
5 In 0.306 0.312 0.605
6 In 0.694 0.688 0.395

Results
Formation energy = 3 meV per atom


This record from Alexandria describes an optimized crystal structure of LiBeZn. The functional is PBE.

Cell lengths 4.113, 4.113, 2.410 Å; angles 90.00, 90.00, 120.00 degrees
Fractional positions:
1 Li 0.000 0.000 0.000
2 Be 0.333 0.667 0.746
3 Zn 0.667 0.333 0.352

Results
ΔE to the lowest computed polymorph = 2 kJ/mol of formula units
Formation energy = 33 meV per atom


This record from Alexandria describes an optimized crystal structure of Cs2ErInO4. The functional is PBE.

Cell lengths 13.086, 11.583, 7.362 Å; angles 84.23, 61.73, 34.04 degrees
Fractional positions:
1 Cs 0.056 0.056 0.694
2 Cs 0.306 0.306 0.944
3 Cs 0.694 0.694 0.056
4 Cs 0.944 0.944 0.306
5 Er 0.125 0.125 0.125
6 Er 0.875 0.875 0.875
7 In 0.375 0.375 0.375
8 In 0.625 0.625 0.625
9 O 0.005 0.332 0.420
10 O 0.257 0.580 0.668
11 O 0.332 0.005 0.743
12 O 0.420 0.743 0.005
13 O 0.580 0.257 0.995
14 O 0.668 0.995 0.257
15 O 0.743 0.420 0.332
16 O 0.995 0.668 0.580

Results
ΔE_f (raw) = -1.82 eV per atom


This record from Alexandria describes an optimized crystal structure of CsUAs2. The functional is PBE.

Cell lengths 8.626, 8.626, 8.626 Å; angles 28.84, 28.84, 28.84 degrees
Fractional positions:
1 Cs 0.000 0.000 0.000
2 U 0.169 0.169 0.169
3 As 0.558 0.558 0.558
4 As 0.780 0.780 0.780

Results
ΔE to the lowest computed polymorph = 8 kJ/mol of formula units
Formation energy = -518 meV per atom


This record from Alexandria describes an optimized crystal structure of RbB3F. The functional is PBE.

Cell lengths 4.534, 4.534, 4.534 Å; angles 90.00, 90.00, 90.00 degrees
Fractional positions:
1 Rb 0.000 0.000 0.000
2 B 0.000 0.500 0.500
3 B 0.500 0.000 0.500
4 B 0.500 0.500 0.000
5 F 0.500 0.500 0.500

Results
ΔE_f (raw) = 2.05 eV per atom
ΔE to the lowest computed polymorph = 0 kJ/mol of formula units


This record from Alexandria describes an optimized crystal structure of Tb4PrPb4. The functional is PBE.

Cell lengths 10.092, 10.092, 6.238 Å; angles 90.00, 90.00, 90.00 degrees
Fractional positions:
1 Tb 0.090 0.649 0.158
2 Tb 0.149 0.910 0.658
3 Tb 0.351 0.590 0.658
4 Tb 0.410 0.851 0.158
5 Tb 0.590 0.149 0.842
6 Tb 0.649 0.410 0.342
7 Tb 0.851 0.090 0.342
8 Tb 0.910 0.351 0.842
9 Pr 0.250 0.250 0.250
10 Pr 0.750 0.750 0.750
11 Pb 0.037 0.619 0.665
12 Pb 0.119 0.963 0.165
13 Pb 0.381 0.537 0.165
14 Pb 0.463 0.881 0.665
15 Pb 0.537 0.119 0.335
16 Pb 0.619 0.463 0.835
17 Pb 0.881 0.037 0.835
18 Pb 0.963 0.381 0.335

Results
Formation energy = -247 meV per atom


This record from Alexandria describes an optimized crystal structure of ZnBPO2. The functional is PBE.

Cell lengths 3.169, 3.169, 7.139 Å; angles 90.00, 90.00, 90.00 degrees
Fractional positions:
1 Zn 0.000 0.000 0.000
2 B 0.500 0.500 0.500
3 P 0.500 0.500 0.000
4 O 0.000 0.500 0.500
5 O 0.500 0.000 0.500

Results
ΔE_f (raw) = -0.08 eV per atom
ΔE to the lowest computed polymorph = 0 kJ/mol of formula units


It is found that the N(E_F) values, taken in the order of the records, are 11.3; 7.9; 4.3; 2.9; 7.1; 7.9; 11.4; 6.7; 2.7; 5.4; 5.6; 8.5; 10.9; 5.5; 2.2; 4.3; 2.0; 0.8; 0.0; 4.7; 3.2; 20.6; 2.6 states/eV/cell.
It is found that the total energy values, taken in the order of the records, are -26.09; -51.46; -28.90; -180.66; -35.33; -21.94; -44.97; -11.22; -10.53; -61.43; -17.98; -26.16; -78.51; -17.22; -5.76; -21.07; -16.13; -6.81; -86.87; -23.51; -12.61; -80.71; -23.66 eV for the cell shown.